Record 1
A relaxed structure of Dy2MgV. Source: the Alexandria database, functional PBE-GGA.

Cell lengths 3.605, 3.605, 7.804 Å; angles 90.00, 90.00, 90.00 degrees
Fractional coordinates of all 4 atoms:
Dy: 0.000 0.000 0.220
Dy: 0.000 0.000 0.780
Mg: 0.500 0.500 0.500
V: 0.500 0.500 0.000

Output
Uncorrected energy, eV/atom: -4.856
Calculated volume, Å³/f.u.: 101.4
ΔH_f (0 K), eV per formula unit: 0.5
Crystal system: tetragonal

---

Record 2
A relaxed structure of Dy2MgV. Source: the Alexandria database, functional PBE-GGA.

Cell lengths 11.551, 11.551, 11.551 Å; angles 16.15, 16.15, 16.15 degrees
Fractional coordinates of all 4 atoms:
Dy: 0.083 0.083 0.083
Dy: 0.917 0.917 0.917
Mg: 0.500 0.500 0.500
V: 0.000 0.000 0.000

Output
Uncorrected energy, eV/atom: -4.370
Calculated volume, Å³/f.u.: 103.9
ΔH_f (0 K), eV per formula unit: 2.4
Crystal system: trigonal

---

Record 3
A relaxed structure of Dy5YMg6. Source: the Alexandria database, functional PBE-GGA.

Cell lengths 8.495, 8.495, 7.539 Å; angles 90.00, 90.00, 143.11 degrees
Fractional coordinates of all 12 atoms:
Dy: 0.000 0.000 0.000
Dy: 0.333 0.667 0.000
Dy: 0.333 0.667 0.500
Dy: 0.667 0.333 0.000
Dy: 0.667 0.333 0.500
Y: 0.000 0.000 0.500
Mg: 0.167 0.833 0.250
Mg: 0.167 0.833 0.750
Mg: 0.500 0.500 0.250
Mg: 0.500 0.500 0.750
Mg: 0.833 0.167 0.250
Mg: 0.833 0.167 0.750

Output
Uncorrected energy, eV/atom: -3.338
Calculated volume, Å³/f.u.: 326.5
ΔH_f (0 K), eV per formula unit: -1.0
Crystal system: orthorhombic

---

Record 4
A relaxed structure of DyY6Mg. Source: the Alexandria database, functional PBE-GGA.

Cell lengths 6.353, 6.353, 6.353 Å; angles 94.68, 94.68, 94.68 degrees
Fractional coordinates of all 8 atoms:
Dy: 0.000 0.000 0.000
Y: 0.037 0.542 0.257
Y: 0.257 0.037 0.542
Y: 0.458 0.743 0.963
Y: 0.542 0.257 0.037
Y: 0.743 0.963 0.458
Y: 0.963 0.458 0.743
Mg: 0.500 0.500 0.500

Output
Uncorrected energy, eV/atom: -5.504
Calculated volume, Å³/f.u.: 253.7
ΔH_f (0 K), eV per formula unit: 0.9
Crystal system: trigonal

---

Record 5
A relaxed structure of Dy3YMg. Source: the Alexandria database, functional PBE-GGA.

Cell lengths 6.706, 6.706, 12.775 Å; angles 93.72, 93.72, 31.72 degrees
Fractional coordinates of all 10 atoms:
Dy: 0.035 0.035 0.188
Dy: 0.149 0.149 0.442
Dy: 0.365 0.365 0.022
Dy: 0.635 0.635 0.978
Dy: 0.851 0.851 0.558
Dy: 0.965 0.965 0.812
Y: 0.234 0.234 0.758
Y: 0.766 0.766 0.242
Mg: 0.441 0.441 0.374
Mg: 0.559 0.559 0.626

Output
Uncorrected energy, eV/atom: -4.394
Calculated volume, Å³/f.u.: 150.7
ΔH_f (0 K), eV per formula unit: -0.1
Crystal system: monoclinic

---

Record 6
A relaxed structure of Dy5YMg4. Source: the Alexandria database, functional PBE-GGA.

Cell lengths 3.735, 3.735, 20.203 Å; angles 90.00, 90.00, 90.00 degrees
Fractional coordinates of all 10 atoms:
Dy: 0.000 0.000 0.000
Dy: 0.000 0.000 0.190
Dy: 0.000 0.000 0.381
Dy: 0.000 0.000 0.619
Dy: 0.000 0.000 0.810
Y: 0.500 0.500 0.500
Mg: 0.500 0.500 0.095
Mg: 0.500 0.500 0.285
Mg: 0.500 0.500 0.715
Mg: 0.500 0.500 0.905

Output
Uncorrected energy, eV/atom: -3.640
Calculated volume, Å³/f.u.: 281.9
ΔH_f (0 K), eV per formula unit: -0.5
Crystal system: tetragonal

---

Record 7
A relaxed structure of Dy4Y15Mg. Source: the Alexandria database, functional PBE-GGA.

Cell lengths 5.022, 5.022, 25.195 Å; angles 90.00, 90.00, 90.00 degrees
Fractional coordinates of all 20 atoms:
Dy: 0.000 0.000 0.101
Dy: 0.000 0.000 0.302
Dy: 0.000 0.000 0.698
Dy: 0.000 0.000 0.899
Y: 0.000 0.500 0.000
Y: 0.000 0.500 0.201
Y: 0.000 0.500 0.402
Y: 0.000 0.500 0.598
Y: 0.000 0.500 0.799
Y: 0.500 0.000 0.000
Y: 0.500 0.000 0.201
Y: 0.500 0.000 0.402
Y: 0.500 0.000 0.598
Y: 0.500 0.000 0.799
Y: 0.500 0.500 0.101
Y: 0.500 0.500 0.304
Y: 0.500 0.500 0.500
Y: 0.500 0.500 0.696
Y: 0.500 0.500 0.899
Mg: 0.000 0.000 0.500

Output
Uncorrected energy, eV/atom: -5.826
Calculated volume, Å³/f.u.: 635.4
ΔH_f (0 K), eV per formula unit: 0.4
Crystal system: tetragonal

---

Record 8
A relaxed structure of DyY2Mg4. Source: the Alexandria database, functional PBE-GGA.

Cell lengths 8.120, 8.120, 8.120 Å; angles 141.09, 141.09, 56.20 degrees
Fractional coordinates of all 7 atoms:
Dy: 0.000 0.000 0.000
Y: 0.251 0.251 0.000
Y: 0.749 0.749 0.000
Mg: 0.117 0.617 0.500
Mg: 0.383 0.883 0.500
Mg: 0.617 0.117 0.500
Mg: 0.883 0.383 0.500

Output
Uncorrected energy, eV/atom: -3.289
Calculated volume, Å³/f.u.: 209.5
ΔH_f (0 K), eV per formula unit: 0.9
Crystal system: tetragonal

---

Record 9
A relaxed structure of DyYMg14. Source: the Alexandria database, functional PBE-GGA.

Cell lengths 6.917, 6.917, 8.009 Å; angles 90.00, 90.00, 90.00 degrees
Fractional coordinates of all 16 atoms:
Dy: 0.000 0.000 0.000
Y: 0.500 0.500 0.000
Mg: 0.000 0.000 0.500
Mg: 0.000 0.500 0.000
Mg: 0.000 0.500 0.500
Mg: 0.250 0.250 0.261
Mg: 0.250 0.250 0.739
Mg: 0.250 0.750 0.261
Mg: 0.250 0.750 0.739
Mg: 0.500 0.000 0.000
Mg: 0.500 0.000 0.500
Mg: 0.500 0.500 0.500
Mg: 0.750 0.250 0.261
Mg: 0.750 0.250 0.739
Mg: 0.750 0.750 0.261
Mg: 0.750 0.750 0.739

Output
Uncorrected energy, eV/atom: -2.121
Calculated volume, Å³/f.u.: 383.2
ΔH_f (0 K), eV per formula unit: -0.5
Crystal system: tetragonal

---

Record 10
A relaxed structure of Dy5Y6Mg2. Source: the Alexandria database, functional PBE-GGA.

Cell lengths 10.326, 22.556, 3.551 Å; angles 90.00, 90.00, 90.00 degrees
Fractional coordinates of all 26 atoms:
Dy: 0.000 0.000 0.000
Dy: 0.078 0.251 0.000
Dy: 0.167 0.505 0.000
Dy: 0.333 0.005 0.000
Dy: 0.422 0.751 0.000
Dy: 0.500 0.500 0.000
Dy: 0.578 0.249 0.000
Dy: 0.667 0.995 0.000
Dy: 0.833 0.495 0.000
Dy: 0.922 0.749 0.000
Y: 0.017 0.388 0.500
Y: 0.146 0.118 0.500
Y: 0.168 0.865 0.000
Y: 0.332 0.365 0.000
Y: 0.354 0.618 0.500
Y: 0.483 0.888 0.500
Y: 0.517 0.112 0.500
Y: 0.646 0.382 0.500
Y: 0.668 0.635 0.000
Y: 0.832 0.135 0.000
Y: 0.854 0.882 0.500
Y: 0.983 0.612 0.500
Mg: 0.171 0.739 0.500
Mg: 0.329 0.239 0.500
Mg: 0.671 0.761 0.500
Mg: 0.829 0.261 0.500

Output
Uncorrected energy, eV/atom: -4.867
Calculated volume, Å³/f.u.: 413.5
ΔH_f (0 K), eV per formula unit: 1.7
Crystal system: orthorhombic

---

Number 4 is which compound?
DyY6Mg

---

Which value of ΔH_f (0 K) does entry 4 give?
0.9 eV per formula unit

---

What is the calculated volume in the first record?
101.4 Å³/f.u.